A relaxed structure of Li2Pm2Pb. Source: Alexandria via LeMat-Bulk, functional GGA-PBE.

The structure in POSCAR format:
```
Li2Pm2Pb
1.0
-1.826 1.826 10.245
1.826 -1.826 10.245
1.826 1.826 -10.245
Li Pm Pb
2 2 1
Direct
0.250 0.750 0.500
0.750 0.250 0.500
0.105 0.105 0.000
0.895 0.895 0.000
0.500 0.500 0.000
```

Summary:
E = -3.467 eV per atom
DOS at the Fermi energy = 4.508 states/eV/cell

---

A relaxed structure of CoCuP4. Source: Alexandria via LeMat-Bulk, functional GGA-PBE.

The structure in POSCAR format:
```
CoCuP4
1.0
0.000 3.494 3.494
3.494 0.000 3.494
3.494 3.494 0.000
Co Cu P
1 1 4
Direct
0.000 0.000 0.000
0.750 0.750 0.750
0.375 0.375 0.375
0.375 0.375 0.875
0.375 0.875 0.375
0.875 0.375 0.375
```

Summary:
E = -4.701 eV per atom
DOS at the Fermi energy = 5.442 states/eV/cell

---

A relaxed structure of Ba3C. Source: Alexandria via LeMat-Bulk, functional GGA-PBE.

The structure in POSCAR format:
```
Ba3C
1.0
4.134 -11.237 0.000
4.134 11.237 0.000
0.000 0.000 3.900
Ba C
6 2
Direct
0.120 0.311 0.250
0.234 0.766 0.750
0.311 0.120 0.750
0.689 0.880 0.250
0.766 0.234 0.250
0.880 0.689 0.750
0.142 0.858 0.250
0.858 0.142 0.750
```

Summary:
E = -3.317 eV per atom
DOS at the Fermi energy = 5.915 states/eV/cell

---

A relaxed structure of ZrZnHg4. Source: Alexandria via LeMat-Bulk, functional GGA-PBE.

The structure in POSCAR format:
```
ZrZnHg4
1.0
0.000 4.116 4.116
4.116 0.000 4.116
4.116 4.116 0.000
Zr Zn Hg
1 1 4
Direct
0.000 0.000 0.000
0.250 0.250 0.250
0.124 0.625 0.625
0.625 0.124 0.625
0.625 0.625 0.124
0.625 0.625 0.625
```

Summary:
E = -1.448 eV per atom
DOS at the Fermi energy = 4.895 states/eV/cell